1.
The following is a GGA-PBE calculation of a relaxed AsPb6Se3S2 crystal, from Alexandria.

Cell: 7.482 7.482 7.450 Å, 99.49 99.49 120.16°
Fractional coordinates of all 12 atoms:
As1 0.000 0.000 0.000
Pb1 0.921 0.588 0.761
Pb2 0.749 0.749 0.242
Pb3 0.079 0.412 0.239
Pb4 0.588 0.921 0.761
Pb5 0.251 0.251 0.758
Pb6 0.412 0.079 0.239
Se1 0.164 0.836 0.500
Se2 0.836 0.164 0.500
Se3 0.500 0.500 0.500
S1 0.333 0.667 0.000
S2 0.667 0.333 0.000

Energy relative to the elements, uncorrected (eV/atom): -0.418
DOS at the Fermi energy (states/eV per atom): 0.55

2.
The following is a GGA-PBE calculation of a relaxed TlPdPb2 crystal, from Alexandria.

Cell: 5.252 5.252 5.252 Å, 60.00 60.00 60.00°
Fractional coordinates of all 4 atoms:
Pb1 0.250 0.250 0.250
Pb2 0.750 0.750 0.750
Tl1 0.500 0.500 0.500
Pd1 0.000 0.000 0.000

Distance to the lowest polymorph of the same formula (meV per atom): 178
Energy of formation from the pure elements (eV per atom): 0.04
DOS at the Fermi energy (states/eV per atom): 0.82

3.
The following is a GGA-PBE calculation of a relaxed Pu2GaHg crystal, from Alexandria.

Cell: 3.181 3.181 9.230 Å, 90.00 90.00 90.00°
Fractional coordinates of all 4 atoms:
Hg1 0.500 0.500 0.500
Ga1 0.500 0.500 0.000
Pu1 0.000 0.000 0.766
Pu2 0.000 0.000 0.234

Energy of formation from the pure elements (eV per atom): -0.22
DOS at the Fermi energy (states/eV per atom): 2.77

4.
The following is a GGA-PBE calculation of a relaxed YNbPCl2 crystal, from Alexandria.

Cell: 5.028 5.028 5.642 Å, 90.00 90.00 90.00°
Fractional coordinates of all 5 atoms:
Y1 0.000 0.000 0.000
P1 0.000 0.000 0.500
Nb1 0.500 0.500 0.500
Cl1 0.000 0.500 0.000
Cl2 0.500 0.000 0.000

Energy relative to the elements, uncorrected (eV/atom): -0.130
Distance to the lowest polymorph of the same formula (meV per atom): 336
DOS at the Fermi energy (states/eV per atom): 1.84

5.
The following is a GGA-PBE calculation of a relaxed AlTeSe2Br crystal, from Alexandria.

Cell: 5.409 5.409 5.623 Å, 90.00 90.00 90.00°
Fractional coordinates of all 5 atoms:
Te1 0.000 0.000 0.000
Se1 0.000 0.500 0.000
Se2 0.500 0.000 0.000
Br1 0.000 0.000 0.500
Al1 0.500 0.500 0.500

Energy relative to the elements, uncorrected (eV/atom): 0.285
Distance to the lowest polymorph of the same formula (meV per atom): 302
DOS at the Fermi energy (states/eV per atom): 0.22

6.
The following is a GGA-PBE calculation of a relaxed La2PmDy2Tm2 crystal, from Alexandria.

Cell: 5.091 6.237 8.080 Å, 97.53 90.00 114.09°
Fractional coordinates of all 7 atoms:
La1 0.142 0.285 0.428
La2 0.858 0.715 0.572
Pm1 0.000 0.000 0.000
Dy1 0.571 0.142 0.720
Dy2 0.429 0.858 0.280
Tm1 0.716 0.432 0.138
Tm2 0.284 0.568 0.862

Energy of formation from the pure elements (eV per atom): 0.03
DOS at the Fermi energy (states/eV per atom): 1.62

7.
The following is a GGA-PBE calculation of a relaxed Dy5Ho2Th2 crystal, from Alexandria.

Cell: 3.473 8.123 12.777 Å, 117.77 97.81 90.00°
Fractional coordinates of all 9 atoms:
Dy1 0.694 0.834 0.388
Dy2 0.306 0.166 0.612
Dy3 0.909 0.551 0.818
Dy4 0.091 0.449 0.182
Dy5 0.000 0.000 0.000
Ho1 0.836 0.844 0.671
Ho2 0.164 0.156 0.329
Th1 0.552 0.747 0.105
Th2 0.448 0.253 0.895

Distance to the lowest polymorph of the same formula (meV per atom): 46
Energy of formation from the pure elements (eV per atom): 0.29
DOS at the Fermi energy (states/eV per atom): 1.56

8.
The following is a GGA-PBE calculation of a relaxed SrPd crystal, from Alexandria.

Cell: 6.846 6.846 6.846 Å, 90.00 90.00 90.00°
Fractional coordinates of all 8 atoms:
Sr1 0.250 0.250 0.250
Sr2 0.250 0.750 0.750
Sr3 0.750 0.250 0.750
Sr4 0.750 0.750 0.250
Pd1 0.000 0.000 0.000
Pd2 0.000 0.500 0.500
Pd3 0.500 0.000 0.500
Pd4 0.500 0.500 0.000

Energy of formation from the pure elements (eV per atom): -0.07

One value per record, in order, for spin magnetization: 0.00; 0.00; 11.59; 3.00; 0.00; 0.00; 0.00; 0.00 μB per cell.